No. 1
VASP calculation (meta-GGA SCAN) on ZrAl2Br at its PBEsol-relaxed geometry.

Properties
Symmetry: Pmmm (47)
Uncorrected energy in eV/atom: -16.48
Formation energy (no corrections) in eV/f.u.: -0.274
D(E_F) in states/eV/atom: 0.5625
M_tot in μB per cell: 0.00
Crystal system: orthorhombic
Theoretical density in Mg/m³: 4.683
E above lowest polymorph in meV/atom: 66

Cell lengths 3.2957, 4.5935, 5.2719 Å; angles 90.00, 90.00, 90.00 degrees
Element x y z (fractional)
Zr 0.0000 0.0000 0.0000
Al 0.5000 0.5000 0.2446
Al 0.5000 0.5000 0.7554
Br 0.0000 0.0000 0.5000



No. 2
VASP calculation (meta-GGA SCAN) on AlC at its PBEsol-relaxed geometry.

Properties
Symmetry: Pm-3m (221)
Uncorrected energy in eV/atom: -7.61
D(E_F) in states/eV/atom: 0.4389
ΔH_f (0 K) in meV per atom: 1315
M_tot in μB per cell: 0.00
Crystal system: cubic
Theoretical density in Mg/m³: 3.363
E above lowest polymorph in meV/atom: 903

Cell lengths 2.6803, 2.6803, 2.6803 Å; angles 90.00, 90.00, 90.00 degrees
Element x y z (fractional)
Al 0.0000 0.0000 0.0000
C 0.5000 0.5000 0.5000



No. 3
VASP calculation (meta-GGA SCAN) on AlC4 at its PBEsol-relaxed geometry.

Properties
Symmetry: I4/mmm (139)
Uncorrected energy in eV/atom: -8.23
D(E_F) in states/eV/atom: 0.1005
ΔH_f (0 K) in meV per atom: 1396
M_tot in μB per cell: 0.00
Crystal system: tetragonal
Theoretical density in Mg/m³: 1.817

Cell lengths 4.4698, 4.4698, 4.4698 Å; angles 107.76, 107.76, 112.96 degrees
Element x y z (fractional)
Al 0.0000 0.0000 0.0000
C 0.0000 0.3795 0.3795
C 0.0000 0.6205 0.6205
C 0.3795 0.0000 0.3795
C 0.6205 0.0000 0.6205